1.
A geometry-optimized ScZn3Ni structure, computed with PBE-GGA.

a = 6.1332 Å, b = 6.1332 Å, c = 6.1332 Å
α = 90.00°, β = 90.00°, γ = 90.00°
Last column: nearest neighbours and their distance in Å.
Space group Pm-3m (No. 221)
Asymmetric unit:
Sc (0.0000, 0.0000, 0.5000)  10 Zn 2.80-3.07, 4 Ni 3.07
Zn (0.0000, 0.0000, 0.0000)  8 Zn 3.03, 6 Sc 3.07
Zn (0.2849, 0.2849, 0.2849)  3 Ni 2.56, 3 Zn 2.64, 3 Sc 2.80
Ni (0.0000, 0.5000, 0.5000)  8 Zn 2.56

Its crystal system is cubic. The value obtained for the energy of formation is -0.34 eV/atom. The relative energy among the computed polymorphs is 0.0 meV/atom.



2.
A geometry-optimized ScZnNi2 structure, computed with PBE-GGA.

a = 4.9190 Å, b = 4.7313 Å, c = 11.6639 Å
α = 90.00°, β = 90.00°, γ = 90.00°
Last column: nearest neighbours and their distance in Å.
Space group Pmma (No. 51)
Asymmetric unit:
Sc (0.2500, 0.0000, 0.0777)  3 Zn 2.75-3.05, 4 Ni 2.82, 2 Sc 3.06
Sc (0.2500, 0.5000, 0.4069)  10 Ni 2.76-2.92
Zn (0.2500, 0.0000, 0.8164)  2 Zn 2.37, 2 Ni 2.42
Zn (0.2500, 0.5000, 0.8201)  2 Zn 2.37, 4 Ni 2.43
Ni (0.0000, 0.0000, 0.5000)  6 Ni 2.35-2.46
Ni (0.0000, 0.5000, 0.0000)  2 Zn 2.43, 2 Ni 2.46
Ni (0.2500, 0.2560, 0.6365)  4 Ni 2.31-2.42, 2 Zn 2.42-2.43

Its crystal system is orthorhombic. The value obtained for the energy of formation is -0.07 eV/atom.



3.
A geometry-optimized ScZnNi structure, computed with PBE-GGA.

a = 3.2726 Å, b = 3.2726 Å, c = 8.6424 Å
α = 90.00°, β = 90.00°, γ = 90.00°
Last column: nearest neighbours and their distance in Å.
Space group I4mm (No. 107)
Asymmetric unit:
Sc (0.0000, 0.0000, 0.0000)  5 Zn 2.70-2.82, 5 Ni 2.71-2.91
Zn (0.0000, 0.0000, 0.6874)  4 Ni 2.65, 5 Sc 2.70-2.82
Ni (0.0000, 0.0000, 0.3370)  4 Zn 2.65, 5 Sc 2.71-2.91

Its crystal system is tetragonal. The value obtained for the energy of formation is -0.41 eV/atom.



4.
A geometry-optimized ScZnNi structure, computed with PBE-GGA.

a = 3.0854 Å, b = 3.0854 Å, c = 6.0394 Å
α = 90.00°, β = 90.00°, γ = 120.00°
Last column: nearest neighbours and their distance in Å.
Space group P3m1 (No. 156)
Asymmetric unit:
Sc (0.0000, 0.0000, 0.0000)  3 Ni 2.61
Zn (0.6667, 0.3333, 0.3868)  3 Ni 2.53
Ni (0.3333, 0.6667, 0.6844)  3 Zn 2.53, 3 Sc 2.61

Its crystal system is trigonal. The value obtained for the energy of formation is -0.07 eV/atom.



5.
A geometry-optimized Sc2Zn15Ni2 structure, computed with PBE-GGA.

a = 8.7569 Å, b = 8.7569 Å, c = 12.9810 Å
α = 90.00°, β = 90.00°, γ = 120.00°
Last column: nearest neighbours and their distance in Å.
Space group R-3m (No. 166, hexagonal axes)
Asymmetric unit:
Sc (0.0000, 0.0000, 0.1752)  1 Ni 2.87, 9 Zn 3.13-3.14
Zn (0.0000, 0.2890, 0.5000)  8 Zn 2.53-2.74
Zn (0.0000, 0.5000, 0.0000)  8 Zn 2.53-2.56, 2 Ni 2.66
Zn (0.0043, 0.5022, 0.6482)  8 Zn 2.54-2.74, 1 Ni 2.77
Ni (0.0000, 0.0000, 0.3962)  12 Zn 2.66-2.87, 1 Ni 2.69, 1 Sc 2.87

Its crystal system is trigonal. The value obtained for the energy of formation is -0.17 eV/atom.



6.
A geometry-optimized ScZnNi structure, computed with PBE-GGA.

a = 4.2176 Å, b = 4.2176 Å, c = 3.1153 Å
α = 90.00°, β = 90.00°, γ = 120.00°
Last column: nearest neighbours and their distance in Å.
Space group P-6m2 (No. 187)
Asymmetric unit:
Sc (0.0000, 0.0000, 0.0000)  6 Ni 2.89, 6 Zn 2.89, 2 Sc 3.12
Zn (0.6667, 0.3333, 0.5000)  3 Ni 2.44
Ni (0.3333, 0.6667, 0.5000)  3 Zn 2.44

Its crystal system is hexagonal. The value obtained for the energy of formation is -0.37 eV/atom.



7.
A geometry-optimized Sc2Zn3Ni structure, computed with PBE-GGA.

a = 8.9401 Å, b = 5.1391 Å, c = 5.1720 Å
α = 90.00°, β = 125.33°, γ = 90.00°
Last column: nearest neighbours and their distance in Å.
Space group C2/m (No. 12)
Asymmetric unit:
Sc (0.1260, 0.0000, 0.3746)  9 Zn 3.02-3.03, 3 Ni 3.02, 4 Sc 3.14-3.18
Zn (0.0000, 0.5000, 0.5000)  4 Zn 2.58, 2 Ni 2.59
Zn (0.2500, 0.2500, 0.0000)  4 Zn 2.57-2.58, 2 Ni 2.58
Ni (0.0000, 0.5000, 0.0000)  6 Zn 2.58-2.59

Its crystal system is monoclinic. The value obtained for the energy of formation is -0.38 eV/atom.



8.
A geometry-optimized Sc4ZnNi structure, computed with PBE-GGA.

a = 4.4850 Å, b = 4.4850 Å, c = 6.5632 Å
α = 90.00°, β = 90.00°, γ = 90.00°
Last column: nearest neighbours and their distance in Å.
Space group P4/mmm (No. 123)
Asymmetric unit:
Sc (0.0000, 0.5000, 0.2334)  2 Ni 2.72, 2 Zn 2.84
Zn (0.0000, 0.0000, 0.5000)  8 Sc 2.84
Ni (0.5000, 0.5000, 0.0000)  8 Sc 2.72

Its crystal system is tetragonal. The value obtained for the energy of formation is -0.07 eV/atom. The relative energy among the computed polymorphs is 255.7 meV/atom.



9.
A geometry-optimized Sc2Zn5Ni structure, computed with PBE-GGA.

a = 3.4392 Å, b = 17.2293 Å, c = 9.0104 Å
α = 90.00°, β = 90.00°, γ = 90.00°
Last column: nearest neighbours and their distance in Å.
Space group Cmcm (No. 63)
Asymmetric unit:
Sc (0.0000, 0.0000, 0.0000)  4 Zn 2.82, 4 Ni 2.95
Sc (0.0000, 0.1649, 0.2500)  2 Ni 2.66, 8 Zn 2.76-2.96
Zn (0.0000, 0.2168, 0.6061)  6 Zn 2.55-2.82
Zn (0.0000, 0.3704, 0.5196)  4 Zn 2.50-2.76, 1 Ni 2.52, 2 Sc 2.76
Zn (0.0000, 0.4049, 0.2500)  1 Ni 2.45, 2 Zn 2.50
Ni (0.0000, 0.4531, 0.7500)  3 Zn 2.45-2.52, 2 Sc 2.66

Its crystal system is orthorhombic. The value obtained for the energy of formation is -0.27 eV/atom.



10.
A geometry-optimized ScZn4Ni2 structure, computed with PBE-GGA.

a = 8.0150 Å, b = 6.3299 Å, c = 4.9700 Å
α = 90.00°, β = 127.97°, γ = 90.00°
Last column: nearest neighbours and their distance in Å.
Space group C2/m (No. 12)
Asymmetric unit:
Sc (0.0000, 0.0000, 0.0000)  8 Zn 2.72-3.04
Zn (0.1964, 0.1962, 0.6963)  4 Zn 2.48-2.67, 4 Ni 2.60-2.61, 1 Sc 2.72
Ni (0.0008, 0.5000, 0.7506)  2 Ni 2.48-2.49, 8 Zn 2.60-2.61

Its crystal system is monoclinic. The value obtained for the energy of formation is -0.28 eV/atom.



11.
A geometry-optimized ScZn8Ni4 structure, computed with PBE-GGA.

a = 8.4670 Å, b = 8.4670 Å, c = 5.0576 Å
α = 90.00°, β = 90.00°, γ = 90.00°
Last column: nearest neighbours and their distance in Å.
Space group I4/mmm (No. 139)
Asymmetric unit:
Sc (0.0000, 0.0000, 0.0000)  12 Zn 2.84-3.14
Zn (0.0000, 0.2193, 0.5000)  4 Ni 2.48, 6 Zn 2.63-2.75
Zn (0.0000, 0.3360, 0.0000)  4 Ni 2.57, 5 Zn 2.72-2.78, 1 Sc 2.84
Ni (0.2500, 0.2500, 0.2500)  8 Zn 2.48-2.57, 2 Ni 2.53

Its crystal system is tetragonal. The value obtained for the energy of formation is -0.28 eV/atom. The relative energy among the computed polymorphs is 0.0 meV/atom.



12.
A geometry-optimized Sc2Zn3Ni2 structure, computed with PBE-GGA.

a = 9.3187 Å, b = 4.0075 Å, c = 6.1754 Å
α = 90.00°, β = 107.27°, γ = 90.00°
Last column: nearest neighbours and their distance in Å.
Space group C2/m (No. 12)
Asymmetric unit:
Sc (0.1276, 0.0000, 0.2302)  5 Ni 2.70-3.00, 4 Zn 2.78-2.94
Zn (0.0000, 0.5000, 0.5000)  2 Ni 2.58, 4 Zn 2.62
Zn (0.1588, 0.0000, 0.7185)  3 Ni 2.49, 2 Zn 2.62, 3 Sc 2.78
Ni (0.1210, 0.5000, 0.9339)  4 Zn 2.49-2.58, 1 Ni 2.62, 2 Sc 2.70

Its crystal system is monoclinic. The value obtained for the energy of formation is -0.37 eV/atom. The relative energy among the computed polymorphs is 21.5 meV/atom.



Number 1: DFT total energy -3.525 eV per atom. Number 2: DFT total energy -4.863 eV per atom. Number 3: DFT total energy -4.868 eV per atom. Number 4: DFT total energy -4.535 eV per atom. Number 5: DFT total energy -2.451 eV per atom. Number 6: DFT total energy -4.829 eV per atom. Number 7: DFT total energy -4.087 eV per atom. Number 8: DFT total energy -5.463 eV per atom. Number 9: DFT total energy -3.375 eV per atom. Number 10: DFT total energy -3.563 eV per atom. Number 11: DFT total energy -3.328 eV per atom. Number 12: DFT total energy -4.372 eV per atom.